Here is a geometry-optimized CoSn4Ir structure from OQMD via LeMat-Bulk. Energies are from PBE-GGA.

Output
raw total energy	-33.00	eV for the cell shown
M_tot	0.0	μB per cell

Unit cell a=4.4672 b=4.4672 c=6.3391 alpha=90.00 beta=90.00 gamma=90.00
Positions (direct):
Co: 0.0000 0.0000 0.0000
Sn: 0.0000 0.5000 0.2404
Sn: 0.0000 0.5000 0.7596
Sn: 0.5000 0.0000 0.2404
Sn: 0.5000 0.0000 0.7596
Ir: 0.5000 0.5000 0.5000